# Cs2YTh2Te6 | Alexandria via LeMat-Bulk | PBE | relaxed
data_Cs2YTh2Te6
_symmetry_space_group_name_H-M 'P 1'
_symmetry_Int_Tables_number 1
_cell_length_a 7.755
_cell_length_b 7.755
_cell_length_c 9.635
_cell_angle_alpha 97.79
_cell_angle_beta 97.79
_cell_angle_gamma 119.91
loop_
_symmetry_equiv_pos_as_xyz
'x,y,z'
loop_
_atom_site_label
_atom_site_fract_x
_atom_site_fract_y
_atom_site_fract_z
Cs1 0.832 0.168 0.000
Cs2 0.168 0.832 0.000
Y1 0.000 0.000 0.500
Th1 0.333 0.667 0.500
Th2 0.667 0.333 0.500
Te1 0.734 0.734 0.694
Te2 0.068 0.395 0.695
Te3 0.266 0.266 0.306
Te4 0.395 0.068 0.695
Te5 0.932 0.605 0.305
Te6 0.605 0.932 0.305
# Total magnetization, μB/cell: 0.0
# Mass density, kg/m3: 5440
# Volume, Å³/f.u.: 484
# Space-group type: C2/m (12)
# E_tot, eV per atom: -5.091
# Uncorrected formation energy, eV/atom: -1.286